No. 1
Here is an optimized crystal structure of MoPb2Se from Alexandria via LeMat-Bulk. Energies are from PBE.

Cell: 4.2612 4.2612 11.1122 Å, 90.00 90.00 90.00°
Space group I-4m2 (No. 119)
Asymmetric unit:
Mo  0.0000  0.0000  0.0000
Pb  0.0000  0.0000  0.5000
Pb  0.0000  0.5000  0.7500
Se  0.0000  0.5000  0.2500

DOS at the Fermi energy: 1.73 states/eV/f.u.
E_form (uncorrected): 0.62 eV per atom
total DFT energy (no corrections): -0.1767 Ha/atom

***

No. 2
Here is an optimized crystal structure of MoPbSe3 from Alexandria via LeMat-Bulk. Energies are from PBE.

Cell: 5.0071 5.0071 5.0071 Å, 90.00 90.00 90.00°
Space group Pm-3m (No. 221)
Asymmetric unit:
Mo  0.0000  0.0000  0.0000
Pb  0.5000  0.5000  0.5000
Se  0.0000  0.0000  0.5000

DOS at the Fermi energy: 3.76 states/eV/f.u.
E_form (uncorrected): -0.02 eV per atom
total DFT energy (no corrections): -0.1844 Ha/atom
ΔE to the lowest computed polymorph: 0 kJ/mol of formula units

***

No. 3
Here is an optimized crystal structure of MoPb3Se from Alexandria via LeMat-Bulk. Energies are from PBE.

Cell: 5.4016 5.4016 5.4016 Å, 90.00 90.00 90.00°
Space group Pm-3m (No. 221)
Asymmetric unit:
Mo  0.0000  0.0000  0.0000
Pb  0.0000  0.0000  0.5000
Se  0.5000  0.5000  0.5000

DOS at the Fermi energy: 4.20 states/eV/f.u.
E_form (uncorrected): 0.48 eV per atom
total DFT energy (no corrections): -0.1694 Ha/atom
ΔE to the lowest computed polymorph: 0 kJ/mol of formula units